[1]
DFT (PBEsol) results for an optimized crystal structure of SbTe2RuC.

Lattice parameters (Å, degrees): 4.5895 4.5895 4.4899 90.00 90.00 90.00
With the nearest neighbours (Å) after each atom.
Space group P4/mmm (No. 123)
Unique sites:
Sb1 0.0000 0.0000 0.0000  2 C 2.24
Te1 0.0000 0.5000 0.5000  2 C 2.29
Ru1 0.5000 0.5000 0.0000  8 Te 3.21, 4 Sb 3.25
C1 0.0000 0.0000 0.5000  2 Sb 2.24, 4 Te 2.29

DOS at the Fermi energy: 2.8 states/eV/f.u.
ΔE_f (raw): 1.229 eV per atom

[2]
DFT (PBEsol) results for an optimized crystal structure of Sc3RuC.

Lattice parameters (Å, degrees): 4.3780 4.3780 4.3780 90.00 90.00 90.00
With the nearest neighbours (Å) after each atom.
Space group Pm-3m (No. 221)
Unique sites:
Sc1 0.0000 0.0000 0.5000  2 C 2.19
Ru1 0.5000 0.5000 0.5000  12 Sc 3.10
C1 0.0000 0.0000 0.0000  6 Sc 2.19

DOS at the Fermi energy: 3.5 states/eV/f.u.
VASP energy: -40.89 eV/cell

[3]
DFT (PBEsol) results for an optimized crystal structure of Sc2RuC2.

Lattice parameters (Å, degrees): 5.7143 5.7143 3.4219 90.00 90.00 90.00
With the nearest neighbours (Å) after each atom.
Space group P4/mbm (No. 127)
Unique sites:
Sc1 0.1820 0.3180 0.0000  6 C 2.39-2.46
Ru1 0.0000 0.0000 0.5000  4 C 2.36
C1 0.0987 0.5987 0.5000  1 C 1.59

DOS at the Fermi energy: 1.5 states/eV/f.u.
VASP energy: -90.20 eV/cell

[4]
DFT (PBEsol) results for an optimized crystal structure of ScRu3C.

Lattice parameters (Å, degrees): 4.4842 4.4842 4.4842 90.00 90.00 90.00
With the nearest neighbours (Å) after each atom.
Space group Pm-3m (No. 221)
Unique sites:
Sc1 0.0000 0.0000 0.0000  6 Ru 2.24
Ru1 0.0000 0.0000 0.5000  2 Sc 2.24
C1 0.5000 0.5000 0.5000  12 Ru 3.17

DOS at the Fermi energy: 6.3 states/eV/f.u.
VASP energy: -31.24 eV/cell

[5]
DFT (PBEsol) results for an optimized crystal structure of ScRu3C.

Lattice parameters (Å, degrees): 4.0326 4.0326 4.0326 90.00 90.00 90.00
With the nearest neighbours (Å) after each atom.
Space group Pm-3m (No. 221)
Unique sites:
Sc1 0.0000 0.0000 0.0000  12 Ru 2.85
Ru1 0.0000 0.5000 0.5000  2 C 2.02
C1 0.5000 0.5000 0.5000  6 Ru 2.02

DOS at the Fermi energy: 4.1 states/eV/f.u.
VASP energy: -48.18 eV/cell

[6]
DFT (PBEsol) results for an optimized crystal structure of Zr2RuCSe.

Lattice parameters (Å, degrees): 5.0112 5.0112 3.7708 90.00 90.00 90.00
With the nearest neighbours (Å) after each atom.
Space group P4/mmm (No. 123)
Unique sites:
Zr1 0.0000 0.5000 0.0000  2 Ru 2.51
Ru1 0.0000 0.0000 0.0000  2 C 1.89
C1 0.0000 0.0000 0.5000  2 Ru 1.89
Se1 0.5000 0.5000 0.5000  8 Zr 3.14

DOS at the Fermi energy: 3.6 states/eV/f.u.
ΔE_f (raw): 0.183 eV per atom

[7]
DFT (PBEsol) results for an optimized crystal structure of SmSiRu2C.

Lattice parameters (Å, degrees): 3.8538 10.9877 7.0971 90.00 90.00 90.00
With the nearest neighbours (Å) after each atom.
Space group Cmcm (No. 63)
Unique sites:
Sm1 0.0000 0.0497 0.2500  4 C 2.68
Si1 0.0000 0.2293 0.7500  6 Ru 2.46-2.48
Ru1 0.0000 0.3349 0.0587  1 C 1.86
C1 0.0000 0.5000 0.0000  2 Ru 1.86

DOS at the Fermi energy: 2.9 states/eV/f.u.
ΔE_f (raw): -0.617 eV per atom

[8]
DFT (PBEsol) results for an optimized crystal structure of TmSiRu2C.

Lattice parameters (Å, degrees): 3.7173 11.0354 7.0406 90.00 90.00 90.00
With the nearest neighbours (Å) after each atom.
Space group Cmcm (No. 63)
Unique sites:
Tm1 0.0000 0.0466 0.2500  4 C 2.61
Si1 0.0000 0.2323 0.7500  6 Ru 2.43-2.44
Ru1 0.0000 0.3363 0.0565  1 C 1.85
C1 0.0000 0.5000 0.0000  2 Ru 1.85

DOS at the Fermi energy: 2.4 states/eV/f.u.
ΔE_f (raw): -0.634 eV per atom

[9]
DFT (PBEsol) results for an optimized crystal structure of YSiRu2C.

Lattice parameters (Å, degrees): 3.7813 10.9992 7.0644 90.00 90.00 90.00
With the nearest neighbours (Å) after each atom.
Space group Cmcm (No. 63)
Unique sites:
Y1 0.0000 0.0477 0.2500  4 C 2.64
Si1 0.0000 0.2308 0.7500  6 Ru 2.44-2.46
Ru1 0.0000 0.3356 0.0575  1 C 1.85
C1 0.0000 0.5000 0.0000  2 Ru 1.85

DOS at the Fermi energy: 2.6 states/eV/f.u.
ΔE_f (raw): -0.646 eV per atom

[10]
DFT (PBEsol) results for an optimized crystal structure of TcRu2WC.

Lattice parameters (Å, degrees): 3.9438 3.9438 4.1238 90.00 90.00 90.00
With the nearest neighbours (Å) after each atom.
Space group P4/mmm (No. 123)
Unique sites:
Tc1 0.0000 0.0000 0.0000  4 W 2.79, 8 Ru 2.85
Ru1 0.0000 0.5000 0.5000  2 C 1.97
W1 0.5000 0.5000 0.0000  2 C 2.06
C1 0.5000 0.5000 0.5000  4 Ru 1.97, 2 W 2.06

DOS at the Fermi energy: 4.1 states/eV/f.u.
VASP energy: -53.96 eV/cell

[11]
DFT (PBEsol) results for an optimized crystal structure of ZrTeRu2C.

Lattice parameters (Å, degrees): 4.0152 4.0152 4.8194 90.00 90.00 90.00
With the nearest neighbours (Å) after each atom.
Space group P4/mmm (No. 123)
Unique sites:
Zr1 0.0000 0.0000 0.0000  4 Te 2.84, 8 Ru 3.14
Te1 0.5000 0.5000 0.0000  2 C 2.41
Ru1 0.0000 0.5000 0.5000  2 C 2.01
C1 0.5000 0.5000 0.5000  4 Ru 2.01

DOS at the Fermi energy: 2.7 states/eV/f.u.
ΔE_f (raw): 0.280 eV per atom

[12]
DFT (PBEsol) results for an optimized crystal structure of ThRu3C.

Lattice parameters (Å, degrees): 4.1787 4.1787 4.1787 90.00 90.00 90.00
With the nearest neighbours (Å) after each atom.
Space group Pm-3m (No. 221)
Unique sites:
Th1 0.0000 0.0000 0.0000  12 Ru 2.95
Ru1 0.0000 0.5000 0.5000  2 C 2.09
C1 0.5000 0.5000 0.5000  6 Ru 2.09

DOS at the Fermi energy: 2.0 states/eV/f.u.
VASP energy: -49.71 eV/cell

[13]
DFT (PBEsol) results for an optimized crystal structure of TlRuC2.

Lattice parameters (Å, degrees): 5.7061 5.7061 9.4118 90.00 90.00 90.00
With the nearest neighbours (Å) after each atom.
Space group I4_1/amd (No. 141, origin choice 2)
Unique sites:
Tl1 0.0000 0.2500 0.3750  12 C 3.40-3.81, 4 Ru 3.70, 4 Tl 3.70
Ru1 0.0000 0.2500 0.8750  4 C 1.85
C1 0.0000 0.0000 0.0000  2 Ru 1.85

DOS at the Fermi energy: 0.6 states/eV/f.u.
VASP energy: -110.49 eV/cell

[14]
DFT (PBEsol) results for an optimized crystal structure of TmRu3C.

Lattice parameters (Å, degrees): 4.0853 4.0853 4.0853 90.00 90.00 90.00
With the nearest neighbours (Å) after each atom.
Space group Pm-3m (No. 221)
Unique sites:
Tm1 0.0000 0.0000 0.0000  12 Ru 2.89
Ru1 0.0000 0.5000 0.5000  2 C 2.04
C1 0.5000 0.5000 0.5000  6 Ru 2.04

DOS at the Fermi energy: 3.7 states/eV/f.u.
VASP energy: -46.40 eV/cell

[15]
DFT (PBEsol) results for an optimized crystal structure of U2RuC2.

Lattice parameters (Å, degrees): 3.3956 3.3956 12.3205 90.00 90.00 90.00
With the nearest neighbours (Å) after each atom.
Space group I4/mmm (No. 139)
Unique sites:
U1 0.0000 0.0000 0.1439  5 C 2.26-2.43
Ru1 0.0000 0.0000 0.5000  2 C 2.13
C1 0.0000 0.0000 0.3274  1 Ru 2.13, 1 U 2.26

DOS at the Fermi energy: 6.3 states/eV/f.u.
VASP energy: -109.80 eV/cell

[16]
DFT (PBEsol) results for an optimized crystal structure of CS2.

Lattice parameters (Å, degrees): 6.3683 5.6771 8.7914 90.00 90.00 90.00
With the nearest neighbours (Å) after each atom.
Space group Cmce (No. 64)
Unique sites:
C1 0.0000 0.0000 0.0000  2 S 1.55
S1 0.0000 0.1964 0.1232  1 C 1.55

DOS at the Fermi energy: 0.0 states/eV/f.u.
ΔE_f (raw): 0.368 eV per atom

[17]
DFT (PBEsol) results for an optimized crystal structure of SbCS3.

Lattice parameters (Å, degrees): 4.1871 4.1871 4.1871 90.00 90.00 90.00
With the nearest neighbours (Å) after each atom.
Space group Pm-3m (No. 221)
Unique sites:
Sb1 0.0000 0.0000 0.0000  12 S 2.96
C1 0.5000 0.5000 0.5000  6 S 2.09
S1 0.0000 0.5000 0.5000  2 C 2.09

DOS at the Fermi energy: 2.7 states/eV/f.u.
ΔE_f (raw): 0.809 eV per atom

[18]
DFT (PBEsol) results for an optimized crystal structure of Sb2CS.

Lattice parameters (Å, degrees): 6.5866 6.5866 7.2710 90.00 90.00 90.00
With the nearest neighbours (Å) after each atom.
Space group I-42d (No. 122)
Unique sites:
Sb1 0.1889 0.2500 0.1250  2 C 2.26
C1 0.0000 0.0000 0.0000  4 Sb 2.26
S1 0.0000 0.0000 0.5000  4 Sb 2.78

DOS at the Fermi energy: 1.4 states/eV/f.u.
ΔE_f (raw): 0.769 eV per atom

[19]
DFT (PBEsol) results for an optimized crystal structure of SbC2S.

Lattice parameters (Å, degrees): 5.8147 5.8147 5.8147 90.00 90.00 90.00
With the nearest neighbours (Å) after each atom.
Space group Fm-3m (No. 225)
Unique sites:
Sb1 0.0000 0.0000 0.0000  8 C 2.52
C1 0.2500 0.2500 0.2500  4 S 2.52, 4 Sb 2.52
S1 0.0000 0.0000 0.5000  8 C 2.52

DOS at the Fermi energy: 2.3 states/eV/f.u.
ΔE_f (raw): 2.370 eV per atom

[20]
DFT (PBEsol) results for an optimized crystal structure of SbCS3.

Lattice parameters (Å, degrees): 4.9310 4.9310 4.9310 90.00 90.00 90.00
With the nearest neighbours (Å) after each atom.
Space group Pm-3m (No. 221)
Unique sites:
Sb1 0.0000 0.0000 0.0000  6 S 2.47
C1 0.5000 0.5000 0.5000  12 S 3.49
S1 0.0000 0.0000 0.5000  2 Sb 2.47

DOS at the Fermi energy: 5.3 states/eV/f.u.
ΔE_f (raw): 1.979 eV per atom

Results for calculated density: 8.604 4.907 6.391 6.633 9.121 6.567 8.677 9.456 7.486 12.841 9.253 12.454 7.141 11.791 14.054 1.591 5.202 6.056 6.009 3.185 (in Mg/m³, following the order of the records).